No. 1
This record from the Alexandria database describes a geometry-optimized BaFeCo3 structure. The functional is PBEsol.

Properties
Energy relative to the elements, eV/atom: 0.867
Space group: Pm-3m, No. 221
Crystal system: cubic
Electronic total energy, eV per atom: -5.998

Unit cell a=4.4526 b=4.4526 c=4.4526 alpha=90.00 beta=90.00 gamma=90.00
Site moments in Bohr magnetons follow the coordinates.
Fractional positions:
Fe 0.0000 0.0000 0.0000  2.27
Co 0.5000 0.0000 0.0000  1.54
Co 0.0000 0.5000 0.0000  1.54
Co 0.0000 0.0000 0.5000  1.54
Ba 0.5000 0.5000 0.5000  -0.14

=====

No. 2
This record from the Alexandria database describes a geometry-optimized BaFeCo2 structure. The functional is PBEsol.

Properties
Energy relative to the elements, eV/atom: 0.697
Space group: P2/m, No. 10
Crystal system: monoclinic
Electronic total energy, eV per atom: -5.950
Excess energy over the best structure of this formula in the dataset, meV/atom: 378

Unit cell a=3.9171 b=4.1054 c=5.2193 alpha=101.76 beta=90.00 gamma=90.00
Site moments in Bohr magnetons follow the coordinates.
Fractional positions:
Co 0.0000 0.7619 0.5803  1.21
Fe 0.5000 0.0000 0.5000  2.35
Co 0.0000 0.2381 0.4197  1.21
Ba 0.5000 0.5000 0.0000  -0.10

=====

> energy relative to the elements of number 1 (BaFeCo3)?

0.867 eV/atom

=====

> The lowest energy relative to the elements belongs to which entry?

BaFeCo2

=====

> Which of these has the lowest electronic total energy?

BaFeCo3

=====

> Look up the electronic total energy of the second one.

-5.950 eV per atom